Material: CsSrSb
Method: DFT, PBE-GGA
State: optimized geometry

For the formation energy (no corrections), the calculation gives -225.3 kJ/mol of formula units. As for the total energy: -3.00 eV per atom.

It has space group Pnma (No. 62), with a = 9.879 Å, b = 5.679 Å, c = 9.625 Å, α = 90.00°, β = 90.00° and γ = 90.00°. The asymmetric unit holds Cs at (0.010, 0.250, 0.162), Sr at (0.144, 0.250, 0.578) and Sb at (0.195, 0.750, 0.390).